[1]
# Ce4NpPaN8

Ce4NpPaN8 after structural relaxation (GGA-PBE, Alexandria).

Lattice parameters (Å, degrees): 6.9707 6.9707 17.0632 90.00 90.00 120.00
With the nearest neighbours (Å) after each atom.
Space group R3m (No. 160, hexagonal axes)
Unique sites:
1 Ce 0.0000 0.0000 0.0000 x3  4 N 2.29-2.40
2 Ce 0.0014 0.5007 0.8722 x9  6 N 2.34-2.45
3 Np 0.0000 0.0000 0.3718 x3  6 N 2.21-2.36
4 Pa 0.0000 0.0000 0.7452 x3  4 N 2.20-2.24
5 N 0.0000 0.0000 0.1342 x3  4 Ce 2.29-2.34
6 N 0.0000 0.0000 0.6165 x3  1 Pa 2.20, 3 Ce 2.42
7 N 0.0180 0.5090 0.1200 x9  1 Pa 2.24, 1 Np 2.36, 2 Ce 2.45
8 N 0.1894 0.3788 0.9582 x9  1 Np 2.21, 3 Ce 2.39-2.40

Output
The calculation puts the uncorrected formation energy at -1.30 eV/atom.

---

[2]
# Ce3Np2PaN6

Ce3Np2PaN6 after structural relaxation (GGA-PBE, Alexandria).

Lattice parameters (Å, degrees): 6.0850 10.5422 6.1041 90.00 109.40 90.00
With the nearest neighbours (Å) after each atom.
Space group C2/m (No. 12)
Unique sites:
1 Ce 0.0000 0.0000 0.0000 x2  6 N 2.57
2 Ce 0.0000 0.3332 0.0000 x4  6 N 2.57
3 Np 0.0000 0.1667 0.5000 x4  6 N 2.41
4 Pa 0.0000 0.5000 0.5000 x2  6 N 2.41
5 N 0.2419 0.0000 0.7256 x4  1 Pa 2.41, 2 Np 2.41, 3 Ce 2.57
6 N 0.2422 0.3335 0.7268 x8  1 Pa 2.41, 2 Np 2.41, 3 Ce 2.57

Output
The calculation puts the uncorrected formation energy at -1.41 eV/atom.

---

no.,total moment (μB per cell)
1,12.59
2,14.03